# 1
Material: HoAsPdO
Method: DFT, PBE
State: relaxed

For the volume, the calculation gives 18.58 A^3/atom. Its relative energy among the computed polymorphs is 445.0 meV/atom. The calculation puts the total magnetization at 0.00 μB/atom.

It has space group Pmc2_1 (No. 26), with a = 3.5186 Å, b = 7.8014 Å, c = 5.4155 Å, α = 90.00°, β = 90.00° and γ = 90.00°. The distinct sites, in fractional coordinates, are Ho at (0.0000, 0.1989, 0.0000), As at (0.0000, 0.4291, 0.5070), Pd at (0.5000, 0.2126, 0.5180) and O at (0.5000, 0.0715, 0.1021).

---

# 2
Material: PrHoZn2As2O2
Method: DFT, PBE
State: relaxed

For the raw total energy, the calculation gives -5.687 eV/atom. For the volume, the calculation gives 17.95 A^3/atom. The calculation puts the total magnetization at 0.00 μB/atom.

It has space group P4mm (No. 99), with a = 4.0021 Å, b = 4.0021 Å, c = 8.9658 Å, α = 90.00°, β = 90.00° and γ = 90.00°. The distinct sites, in fractional coordinates, are Pr at (0.0000, 0.0000, 0.0000), Ho at (0.5000, 0.5000, 0.7456), Zn at (0.0000, 0.5000, 0.3684), As at (0.0000, 0.0000, 0.5463), As at (0.5000, 0.5000, 0.1872) and O at (0.0000, 0.5000, 0.8585).

---

# 3
Material: HoAsPtO
Method: DFT, PBE
State: relaxed

For the volume, the calculation gives 18.98 A^3/atom. Its relative energy among the computed polymorphs is 419.9 meV/atom. The calculation puts the total magnetization at 0.00 μB/atom.

It has space group Pmc2_1 (No. 26), with a = 3.5321 Å, b = 7.8016 Å, c = 5.5092 Å, α = 90.00°, β = 90.00° and γ = 90.00°. The distinct sites, in fractional coordinates, are Ho at (0.0000, 0.1986, 0.0000), As at (0.0000, 0.4231, 0.4936), Pt at (0.5000, 0.2159, 0.5285) and O at (0.5000, 0.0623, 0.0728).

---

# 4
Material: HoAsPtO
Method: DFT, PBE
State: relaxed

For the volume, the calculation gives 17.19 A^3/atom. Its relative energy among the computed polymorphs is 414.6 meV/atom. The calculation puts the total magnetization at 0.00 μB/atom.

It has space group Pmc2_1 (No. 26), with a = 4.7861 Å, b = 4.4737 Å, c = 6.4243 Å, α = 90.00°, β = 90.00° and γ = 90.00°. The distinct sites, in fractional coordinates, are Ho at (0.0000, 0.2206, 0.0000), As at (0.5000, 0.1407, 0.6931), Pt at (0.5000, 0.3634, 0.3440) and O at (0.0000, 0.3333, 0.3403).

---

# 5
Material: HoAsPtO
Method: DFT, PBE
State: relaxed

For the volume, the calculation gives 19.61 A^3/atom. Its relative energy among the computed polymorphs is 633.6 meV/atom. The calculation puts the total magnetization at 0.00 μB/atom.

It has space group P4/nmm (No. 129, origin choice 2), with a = 5.9094 Å, b = 5.9094 Å, c = 4.4921 Å, α = 90.00°, β = 90.00° and γ = 90.00°. The distinct sites, in fractional coordinates, are Ho at (0.2500, 0.7500, 0.0000), As at (0.2500, 0.2500, 0.4989), Pt at (0.2500, 0.2500, 0.9990) and O at (0.2500, 0.7500, 0.5000).

---

# 6
Material: HoAsPtO
Method: DFT, PBE
State: relaxed

For the volume, the calculation gives 16.74 A^3/atom. Its relative energy among the computed polymorphs is 0.0 meV/atom. The calculation puts the total magnetization at 0.00 μB/atom.

It has space group P4/nmm (No. 129, origin choice 2), with a = 4.1194 Å, b = 4.1194 Å, c = 7.8908 Å, α = 90.00°, β = 90.00° and γ = 90.00°. The distinct sites, in fractional coordinates, are Ho at (0.2500, 0.2500, 0.1260), As at (0.2500, 0.2500, 0.6828), Pt at (0.2500, 0.7500, 0.5000) and O at (0.2500, 0.7500, 0.0000).

---

# 7
Material: HoSbAsO
Method: DFT, PBE
State: relaxed

For the volume, the calculation gives 23.48 A^3/atom. Its relative energy among the computed polymorphs is 206.4 meV/atom. The calculation puts the total magnetization at 0.00 μB/atom.

It has space group Pmc2_1 (No. 26), with a = 3.8631 Å, b = 7.3321 Å, c = 6.6317 Å, α = 90.00°, β = 90.00° and γ = 90.00°. The distinct sites, in fractional coordinates, are Ho at (0.0000, 0.2303, 0.0000), Sb at (0.5000, 0.3772, 0.5798), As at (0.0000, 0.1574, 0.4301) and O at (0.5000, 0.2341, 0.8616).

---

# 8
Material: HoSbAsO
Method: DFT, PBE
State: relaxed

For the volume, the calculation gives 23.87 A^3/atom. Its relative energy among the computed polymorphs is 215.4 meV/atom. The calculation puts the total magnetization at 0.00 μB/atom.

It has space group Pmc2_1 (No. 26), with a = 5.2020 Å, b = 5.9878 Å, c = 6.1312 Å, α = 90.00°, β = 90.00° and γ = 90.00°. The distinct sites, in fractional coordinates, are Ho at (0.0000, 0.1852, 0.0000), Sb at (0.5000, 0.2375, 0.3612), As at (0.5000, 0.3120, 0.8217) and O at (0.0000, 0.1252, 0.3400).

---

# 9
Material: HoSbAsO
Method: DFT, PBE
State: relaxed

For the volume, the calculation gives 21.23 A^3/atom. Its relative energy among the computed polymorphs is 0.0 meV/atom. The calculation puts the total magnetization at 0.00 μB/atom.

It has space group P4/nmm (No. 129, origin choice 2), with a = 4.0362 Å, b = 4.0362 Å, c = 10.4278 Å, α = 90.00°, β = 90.00° and γ = 90.00°. The distinct sites, in fractional coordinates, are Ho at (0.2500, 0.2500, 0.0981), Sb at (0.2500, 0.7500, 0.5000), As at (0.2500, 0.2500, 0.7322) and O at (0.2500, 0.7500, 0.0000).

---

# 10
Material: HoSbAsO
Method: DFT, PBE
State: relaxed

For the volume, the calculation gives 20.94 A^3/atom. Its relative energy among the computed polymorphs is 709.1 meV/atom. The calculation puts the total magnetization at 0.01 μB/atom.

It has space group P4/nmm (No. 129, origin choice 2), with a = 4.7922 Å, b = 4.7922 Å, c = 7.2947 Å, α = 90.00°, β = 90.00° and γ = 90.00°. The distinct sites, in fractional coordinates, are Ho at (0.2500, 0.7500, 0.0000), Sb at (0.2500, 0.2500, 0.4325), As at (0.2500, 0.2500, 0.8077) and O at (0.2500, 0.7500, 0.5000).

---

# 11
Material: HoScAsO
Method: DFT, PBE
State: relaxed

For the volume, the calculation gives 21.30 A^3/atom. Its relative energy among the computed polymorphs is 74.4 meV/atom. The calculation puts the total magnetization at 0.00 μB/atom.

It has space group Pmc2_1 (No. 26), with a = 4.1421 Å, b = 7.0001 Å, c = 5.8759 Å, α = 90.00°, β = 90.00° and γ = 90.00°. The distinct sites, in fractional coordinates, are Ho at (0.0000, 0.2075, 0.0000), Sc at (0.5000, 0.3987, 0.6029), As at (0.0000, 0.1914, 0.4917) and O at (0.5000, 0.3356, 0.9484).

---

# 12
Material: HoScAsO
Method: DFT, PBE
State: relaxed

For the volume, the calculation gives 18.99 A^3/atom. Its relative energy among the computed polymorphs is 446.3 meV/atom. The calculation puts the total magnetization at 0.01 μB/atom.

It has space group P4/nmm (No. 129, origin choice 2), with a = 4.2729 Å, b = 4.2729 Å, c = 8.3196 Å, α = 90.00°, β = 90.00° and γ = 90.00°. The distinct sites, in fractional coordinates, are Ho at (0.2500, 0.7500, 0.0000), Sc at (0.2500, 0.2500, 0.4243), As at (0.2500, 0.2500, 0.7834) and O at (0.2500, 0.7500, 0.5000).

---

What did the twelfth record say?
Material: HoScAsO
Method: DFT, PBE
State: relaxed

For the volume, the calculation gives 18.99 A^3/atom. Its relative energy among the computed polymorphs is 446.3 meV/atom. The calculation puts the total magnetization at 0.01 μB/atom.

It has space group P4/nmm (No. 129, origin choice 2), with a = 4.2729 Å, b = 4.2729 Å, c = 8.3196 Å, α = 90.00°, β = 90.00° and γ = 90.00°. The distinct sites, in fractional coordinates, are Ho at (0.2500, 0.7500, 0.0000), Sc at (0.2500, 0.2500, 0.4243), As at (0.2500, 0.2500, 0.7834) and O at (0.2500, 0.7500, 0.5000).